GaCo2RhO6 | PBE+U | relaxed

Output
- DOS at the Fermi energy (states/eV/cell) = 4.6
- E_tot (eV/atom) = -6.10
- volume (Å³ per atom) = 10.0

Structure (POSCAR):
```
GaCo2RhO6
1.0
-2.4452 0.7512 4.3655
-3.1717 -3.5260 1.7619
1.5401 -2.8722 4.2895
Ga Co Rh O
1 2 1 6
direct
0.3064 0.3063 0.0810
0.5084 0.5084 0.4748
0.0253 0.0254 0.9239
0.8230 0.8230 0.5309
0.6043 0.2382 0.2552
0.2381 0.9024 0.2553
0.9024 0.6043 0.2552
0.4262 0.7067 0.7464
0.7066 0.1208 0.7464
0.1208 0.4262 0.7464
```